{
  "formula": "TaC",
  "functional": "PBE",
  "state": "relaxed",
  "cell": [[4.170, 0.000, 0.000], [2.085, 3.611, 0.000], [2.085, 1.204, 3.405]],
  "species": ["C", "C", "Ta", "Ta"],
  "fractional_positions": [[0.000, 0.000, 0.000], [0.250, 0.250, 0.250], [0.500, 0.500, 0.500], [0.750, 0.750, 0.750]],
  "ef_ev_per_atom": 2.263,
  "m_tot_mub_per_cell": 0.00,
  "dft_energy_ev_per_atom": -8.2750,
  "rho_g_cm3": 12.50,
  "space_group": "Fd-3m",
  "de_polymorph_mev_per_atom": 2841
}